Li2FePF after structural relaxation, computed with PBE with a Hubbard U.

## Properties
* total energy: -3.963 eV per atom
* total magnetic moment: 4.0 μB per cell
* calculated volume: 100.27 Å³/cell

a b c (Å): 4.709 4.522 4.709
angles (deg): 90.00 90.00 90.00
Sites, in units of the cell vectors:
F  0.500  0.500  0.500
Li  0.500  0.000  0.000
Li  0.000  0.000  0.500
Fe  0.000  0.500  0.000
P  0.000  0.000  0.000